DFT (GGA-PBEsol) results for a relaxed NaMn3Se crystal.

Results
Energy: -6.205 eV per atom
Crystal system: cubic
Calculated volume: 19.48 A^3/atom

a b c (Å): 4.601 4.601 4.601
angles (deg): 90.00 90.00 90.00
Space group Pm-3m (No. 221)
Asymmetric unit:
Na  0.000  0.000  0.000
Mn  0.000  0.500  0.500
Se  0.500  0.500  0.500